[1]
# LaIn6Hg

LaIn6Hg after structural relaxation (GGA-PBE, Alexandria).

Results
Energy of formation from the pure elements (meV per atom): -182.0
Crystal system: orthorhombic

```
data_LaIn6Hg
_chemical_formula_sum 'La2 In12 Hg2'
_cell_length_a 7.711
_cell_length_b 11.270
_cell_length_c 4.997
_cell_angle_alpha 90.00
_cell_angle_beta 90.00
_cell_angle_gamma 90.00
_symmetry_space_group_name_H-M 'C m m m'
_symmetry_Int_Tables_number 65
_symmetry_space_group_name_Hall '-C 2 2'
loop_
_atom_site_label
_atom_site_type_symbol
_atom_site_fract_x
_atom_site_fract_y
_atom_site_fract_z
La1 La 0.000 0.000 0.000
In1 In 0.000 0.218 0.500
In2 In 0.207 0.500 0.500
In3 In 0.250 0.250 0.000
Hg1 Hg 0.000 0.500 0.000
```



[2]
# MgZr2CdH

MgZr2CdH after structural relaxation (GGA-PBE, Alexandria).

Results
Relative energy among the computed polymorphs (meV per atom): 0
Crystal system: tetragonal

```
data_MgZr2CdH
_chemical_formula_sum 'Mg1 Zr2 Cd1 H1'
_cell_length_a 4.372
_cell_length_b 4.372
_cell_length_c 4.599
_cell_angle_alpha 90.00
_cell_angle_beta 90.00
_cell_angle_gamma 90.00
_symmetry_space_group_name_H-M 'P 4/m m m'
_symmetry_Int_Tables_number 123
_symmetry_space_group_name_Hall '-P 4 2'
loop_
_atom_site_label
_atom_site_type_symbol
_atom_site_fract_x
_atom_site_fract_y
_atom_site_fract_z
Mg1 Mg 0.000 0.000 0.000
Zr1 Zr 0.000 0.500 0.500
Cd1 Cd 0.500 0.500 0.000
H1 H 0.000 0.000 0.500
```



[3]
# CsBa2SrF

CsBa2SrF after structural relaxation (GGA-PBE, Alexandria).

Results
Formation energy without anion corrections (eV/atom): -0.92
Crystal system: tetragonal

```
data_CsBa2SrF
_chemical_formula_sum 'Cs1 Ba2 Sr1 F1'
_cell_length_a 5.892
_cell_length_b 5.892
_cell_length_c 7.023
_cell_angle_alpha 90.00
_cell_angle_beta 90.00
_cell_angle_gamma 90.00
_symmetry_space_group_name_H-M 'P 4/m m m'
_symmetry_Int_Tables_number 123
_symmetry_space_group_name_Hall '-P 4 2'
loop_
_atom_site_label
_atom_site_type_symbol
_atom_site_fract_x
_atom_site_fract_y
_atom_site_fract_z
Cs1 Cs 0.000 0.000 0.000
Ba1 Ba 0.000 0.500 0.500
Sr1 Sr 0.500 0.500 0.000
F1 F 0.000 0.000 0.500
```



[4]
# K2SbOs

K2SbOs after structural relaxation (GGA-PBE, Alexandria).

Results
Formation energy without anion corrections (eV/atom): 0.59
Crystal system: tetragonal

```
data_K2SbOs
_chemical_formula_sum 'K8 Sb4 Os4'
_cell_length_a 12.791
_cell_length_b 12.791
_cell_length_c 5.012
_cell_angle_alpha 90.00
_cell_angle_beta 90.00
_cell_angle_gamma 90.00
_symmetry_space_group_name_H-M 'I -4 2 d'
_symmetry_Int_Tables_number 122
_symmetry_space_group_name_Hall 'I -4 2bw'
loop_
_atom_site_label
_atom_site_type_symbol
_atom_site_fract_x
_atom_site_fract_y
_atom_site_fract_z
K1 K 0.005 0.750 0.125
Sb1 Sb 0.000 0.000 0.500
Os1 Os 0.000 0.000 0.000
```



| no. | final energy (Ha/atom) |
| --- | --- |
| 1 | -0.1062 |
| 2 | -0.1752 |
| 3 | -0.0945 |
| 4 | -0.1396 |